[1]
Compound: InCuAg2
Source: Alexandria
Functional: PBE
Structure: relaxed

Calculated values
The calculation puts the total DFT energy (no corrections) at -3.089 eV/atom. As for the formation energy: 45.2 meV per atom. The space-group type is Pmmm, No. 47. For the size of the total moment, the calculation gives 0.00 μB/f.u.

a = 3.9866 Å, b = 4.0808 Å, c = 4.3316 Å
α = 90.00°, β = 90.00°, γ = 90.00°
Element x y z (fractional)
Cu  0.5000  0.0000  0.5000
Ag  0.0000  0.0000  0.0000
Ag  0.5000  0.5000  0.0000
In  0.0000  0.5000  0.5000

***

[2]
Compound: InCuAg2
Source: Alexandria
Functional: PBE
Structure: relaxed

Calculated values
The calculation puts the total DFT energy (no corrections) at -3.096 eV/atom. As for the formation energy: 37.9 meV per atom. The space-group type is Imm2, No. 44. For the size of the total moment, the calculation gives 0.00 μB/f.u.

a = 5.1217 Å, b = 5.1217 Å, c = 5.1217 Å
α = 134.61°, β = 131.43°, γ = 68.65°
Element x y z (fractional)
Cu  0.5008  0.5008  0.0000
Ag  0.9998  0.9998  0.0000
Ag  0.7435  0.2435  0.5000
In  0.2560  0.7560  0.5000

***

[3]
Compound: InCuAg2
Source: Alexandria
Functional: PBE
Structure: relaxed

Calculated values
The calculation puts the total DFT energy (no corrections) at -3.069 eV/atom. As for the formation energy: 65.4 meV per atom. The space-group type is P4/mmm, No. 123. For the size of the total moment, the calculation gives 0.00 μB/f.u.

a = 3.2571 Å, b = 3.2571 Å, c = 6.7445 Å
α = 90.00°, β = 90.00°, γ = 89.99°
Element x y z (fractional)
Ag  0.0000  0.0000  0.0334
Ag  0.0000  0.0000  0.4666
Cu  0.5000  0.5000  0.2500
In  0.5000  0.5000  0.7500

***

[4]
Compound: In2CuAg
Source: Alexandria
Functional: PBE
Structure: relaxed

Calculated values
The calculation puts the total DFT energy (no corrections) at -2.985 eV/atom. As for the formation energy: 121.2 meV per atom. The space-group type is Cmmm, No. 65. For the size of the total moment, the calculation gives 0.00 μB/f.u.

a = 5.0162 Å, b = 5.0162 Å, c = 3.2039 Å
α = 90.00°, β = 90.00°, γ = 102.10°
Element x y z (fractional)
Ag  0.5000  0.0000  0.5000
Cu  0.0000  0.5000  0.5000
In  0.0000  0.0000  0.0000
In  0.5000  0.5000  0.0000

***

[5]
Compound: InCuAg
Source: Alexandria
Functional: PBE
Structure: relaxed

Calculated values
The calculation puts the total DFT energy (no corrections) at -3.039 eV/atom. As for the formation energy: 189.4 meV per atom. The space-group type is Fddd, No. 70. For the size of the total moment, the calculation gives 0.00 μB/f.u.

a = 6.1439 Å, b = 6.1439 Å, c = 7.6383 Å
α = 108.28°, β = 108.28°, γ = 102.71°
Element x y z (fractional)
In  0.1835  0.1835  0.3669
In  0.8165  0.8165  0.6331
In  0.0665  0.5665  0.1331
In  0.4335  0.9335  0.8669
Ag  0.6250  0.8750  0.2500
Ag  0.6250  0.3750  0.7500
Ag  0.6250  0.3750  0.2500
Ag  0.1250  0.3750  0.7500
Cu  0.4080  0.9080  0.5000
Cu  0.1580  0.1580  0.0000
Cu  0.0920  0.5920  0.5000
Cu  0.8420  0.8420  0.0000

***

[6]
Compound: In2CuAg4
Source: Alexandria
Functional: PBE
Structure: relaxed

Calculated values
The calculation puts the total DFT energy (no corrections) at -2.792 eV/atom. As for the formation energy: 204.7 meV per atom. The space-group type is Fmmm, No. 69. For the size of the total moment, the calculation gives 0.00 μB/f.u.

a = 5.1379 Å, b = 5.1379 Å, c = 7.4852 Å
α = 100.95°, β = 100.95°, γ = 116.51°
Element x y z (fractional)
Ag  0.8117  0.8117  0.6234
Ag  0.1883  0.1883  0.3766
Ag  0.0000  0.5000  0.0000
Ag  0.5000  0.0000  0.0000
Cu  0.0000  0.0000  0.0000
In  0.6141  0.6141  0.2283
In  0.3859  0.3859  0.7717

***

[7]
Compound: InCuAg4
Source: Alexandria
Functional: PBE
Structure: relaxed

Calculated values
The calculation puts the total DFT energy (no corrections) at -2.970 eV/atom. As for the formation energy: 69.9 meV per atom. The space-group type is C2/m, No. 12. For the size of the total moment, the calculation gives 0.00 μB/f.u.

a = 4.6413 Å, b = 4.6413 Å, c = 10.5791 Å
α = 102.90°, β = 102.67°, γ = 90.00°
Element x y z (fractional)
In  0.7500  0.2498  0.0000
In  0.2500  0.7502  0.0000
Cu  0.0000  0.0000  0.5000
Cu  0.5000  0.5000  0.5000
Ag  0.1561  0.1574  0.8122
Ag  0.3439  0.3434  0.1878
Ag  0.8439  0.8426  0.1878
Ag  0.6561  0.6566  0.8122
Ag  0.0711  0.5717  0.6422
Ag  0.4289  0.9291  0.3578
Ag  0.9289  0.4283  0.3578
Ag  0.5711  0.0709  0.6422

***

[8]
Compound: In2CuAg
Source: Alexandria
Functional: PBE
Structure: relaxed

Calculated values
The calculation puts the total DFT energy (no corrections) at -3.053 eV/atom. As for the formation energy: 52.9 meV per atom. The space-group type is Pm, No. 6. For the size of the total moment, the calculation gives 0.00 μB/f.u.

a = 4.3339 Å, b = 3.5325 Å, c = 5.6653 Å
α = 68.84°, β = 90.00°, γ = 90.00°
Element x y z (fractional)
Ag  0.0000  0.6981  0.4763
Cu  0.5000  0.5512  0.7871
In  0.0000  0.9602  0.9253
In  0.5000  0.2905  0.3113

***

[9]
Compound: In2CuAg
Source: Alexandria
Functional: PBE
Structure: relaxed

Calculated values
The calculation puts the total DFT energy (no corrections) at -3.010 eV/atom. As for the formation energy: 96.1 meV per atom. The space-group type is Pmm2, No. 25. For the size of the total moment, the calculation gives 0.00 μB/f.u.

a = 3.5216 Å, b = 3.9353 Å, c = 5.7566 Å
α = 90.00°, β = 90.00°, γ = 90.00°
Element x y z (fractional)
Ag  0.0000  0.0000  0.4973
Cu  0.5000  0.5000  0.7592
In  0.0000  0.0000  0.9711
In  0.5000  0.5000  0.2723

***

[10]
Compound: In3Cu8Ag
Source: Alexandria
Functional: PBE
Structure: relaxed

Calculated values
The calculation puts the total DFT energy (no corrections) at -3.652 eV/atom. As for the formation energy: 1.0 meV per atom. The space-group type is P3m1, No. 156. For the size of the total moment, the calculation gives 0.00 μB/f.u.

a = 5.0892 Å, b = 5.0892 Å, c = 7.9790 Å
α = 90.00°, β = 90.00°, γ = 120.00°
Element x y z (fractional)
In  0.6667  0.3333  0.4510
In  0.6667  0.3333  0.0659
In  0.0000  0.0000  0.9230
Cu  0.3333  0.6667  0.4999
Cu  0.3333  0.6667  0.0019
Cu  0.5015  0.0030  0.7509
Cu  0.5015  0.4985  0.7509
Cu  0.9970  0.4985  0.7509
Cu  0.1636  0.3272  0.2505
Cu  0.1636  0.8364  0.2505
Cu  0.6728  0.8364  0.2505
Ag  0.0000  0.0000  0.5544

***

[11]
Compound: InCuAgIr
Source: Alexandria
Functional: PBE
Structure: relaxed

Calculated values
The calculation puts the total DFT energy (no corrections) at -4.534 eV/atom. As for the formation energy: 102.5 meV per atom. The space-group type is F-43m, No. 216. For the size of the total moment, the calculation gives 0.00 μB/f.u.

a = 4.5224 Å, b = 4.5224 Å, c = 4.5224 Å
α = 60.00°, β = 60.00°, γ = 60.00°
Element x y z (fractional)
Ir  0.5000  0.5000  0.5000
Cu  0.2500  0.2500  0.2500
Ag  0.0000  0.0000  0.0000
In  0.7500  0.7500  0.7500

***

[12]
Compound: Li3In3Cu2Ag
Source: Alexandria
Functional: PBE
Structure: relaxed

Calculated values
The calculation puts the total DFT energy (no corrections) at -2.923 eV/atom. As for the formation energy: -145.7 meV per atom. The space-group type is P-62m, No. 189. For the size of the total moment, the calculation gives 0.00 μB/f.u.

a = 2.9721 Å, b = 7.7588 Å, c = 7.7588 Å
α = 120.00°, β = 90.00°, γ = 90.00°
Element x y z (fractional)
Li  0.5000  0.7027  0.0000
Li  0.5000  0.0000  0.7027
Li  0.5000  0.2973  0.2973
In  0.0000  0.6252  0.6252
In  0.0000  0.0000  0.3748
In  0.0000  0.3748  0.0000
Cu  0.5000  0.6667  0.3333
Cu  0.5000  0.3333  0.6667
Ag  0.0000  0.0000  0.0000

***

[13]
Compound: Mg3In3Cu2Ag
Source: Alexandria
Functional: PBE
Structure: relaxed

Calculated values
The calculation puts the total DFT energy (no corrections) at -2.726 eV/atom. As for the formation energy: -54.4 meV per atom. The space-group type is P-62m, No. 189. For the size of the total moment, the calculation gives 0.00 μB/f.u.

a = 3.3434 Å, b = 7.8000 Å, c = 7.8000 Å
α = 120.00°, β = 90.00°, γ = 90.00°
Element x y z (fractional)
Mg  0.5000  0.7093  0.0000
Mg  0.5000  0.0000  0.7093
Mg  0.5000  0.2907  0.2907
In  0.0000  0.6182  0.6182
In  0.0000  0.0000  0.3818
In  0.0000  0.3818  0.0000
Cu  0.5000  0.6667  0.3333
Cu  0.5000  0.3333  0.6667
Ag  0.0000  0.0000  0.0000

***

[14]
Compound: MnInCu2Ag
Source: Alexandria
Functional: PBE
Structure: relaxed

Calculated values
The calculation puts the total DFT energy (no corrections) at -3.763 eV/atom. As for the formation energy: 827.7 meV per atom. The space-group type is P4/mmm, No. 123. For the size of the total moment, the calculation gives 4.25 μB/f.u.

a = 4.6412 Å, b = 5.0063 Å, c = 4.6412 Å
α = 90.00°, β = 90.00°, γ = 90.00°
Element x y z (fractional)
Mn  0.0000  0.0000  0.0000
Cu  0.0000  0.0000  0.5000
Cu  0.5000  0.0000  0.0000
Ag  0.0000  0.5000  0.0000
In  0.5000  0.5000  0.5000

***

[15]
Compound: NaIn2CuAg
Source: Alexandria
Functional: PBE
Structure: relaxed

Calculated values
The calculation puts the total DFT energy (no corrections) at -2.635 eV/atom. As for the formation energy: 113.4 meV per atom. The space-group type is P4/mmm, No. 123. For the size of the total moment, the calculation gives 0.00 μB/f.u.

a = 4.9712 Å, b = 4.9712 Å, c = 5.1049 Å
α = 90.00°, β = 90.00°, γ = 90.00°
Element x y z (fractional)
Na  0.5000  0.5000  0.5000
Cu  0.0000  0.0000  0.0000
Ag  0.0000  0.0000  0.5000
In  0.0000  0.5000  0.0000
In  0.5000  0.0000  0.0000

***

[16]
Compound: NdInCuAg
Source: Alexandria
Functional: PBE
Structure: relaxed

Calculated values
The calculation puts the total DFT energy (no corrections) at -3.916 eV/atom. As for the formation energy: -302.9 meV per atom. The space-group type is F-43m, No. 216. For the size of the total moment, the calculation gives 0.00 μB/f.u.

a = 4.9413 Å, b = 4.9413 Å, c = 4.9413 Å
α = 60.00°, β = 60.00°, γ = 60.00°
Element x y z (fractional)
Nd  0.0000  0.0000  0.0000
Cu  0.2500  0.2500  0.2500
Ag  0.7500  0.7500  0.7500
In  0.5000  0.5000  0.5000

***

[17]
Compound: In3CuAg3O8
Source: Alexandria
Functional: PBE
Structure: relaxed

Calculated values
For the raw formation energy, the calculation gives -801 meV per atom. The calculation puts the total DFT energy (no corrections) at -4.836 eV/atom. The space-group type is P-1, No. 2. For the size of the total moment, the calculation gives 0.00 μB/f.u.

a = 6.6039 Å, b = 6.3770 Å, c = 8.7807 Å
α = 125.94°, β = 93.74°, γ = 118.40°
Element x y z (fractional)
In  0.5000  0.0000  0.5000
In  0.5000  0.5000  0.5000
In  0.0000  0.5000  0.5000
Cu  0.0000  0.0000  0.5000
Ag  0.0000  0.0000  0.0000
Ag  0.0000  0.5000  0.0000
Ag  0.5000  0.5000  0.0000
O  0.2173  0.4644  0.3180
O  0.7827  0.5356  0.6820
O  0.7636  0.5492  0.3559
O  0.2364  0.4508  0.6441
O  0.7482  0.9550  0.3361
O  0.2518  0.0450  0.6639
O  0.2867  0.9734  0.2918
O  0.7133  0.0266  0.7082

***

[18]
Compound: PaInCuAg
Source: Alexandria
Functional: PBE
Structure: relaxed

Calculated values
The calculation puts the total DFT energy (no corrections) at -4.785 eV/atom. As for the formation energy: 10.5 meV per atom. The space-group type is F-43m, No. 216. For the size of the total moment, the calculation gives 0.00 μB/f.u.

a = 4.8743 Å, b = 4.8743 Å, c = 4.8743 Å
α = 60.00°, β = 60.00°, γ = 60.00°
Element x y z (fractional)
Pa  0.0000  0.0000  0.0000
Cu  0.2500  0.2500  0.2500
Ag  0.7500  0.7500  0.7500
In  0.5000  0.5000  0.5000

***

[19]
Compound: InCuAgPd
Source: Alexandria
Functional: PBE
Structure: relaxed

Calculated values
The calculation puts the total DFT energy (no corrections) at -3.872 eV/atom. As for the formation energy: -152.7 meV per atom. The space-group type is F-43m, No. 216. For the size of the total moment, the calculation gives 0.00 μB/f.u.

a = 4.5508 Å, b = 4.5508 Å, c = 4.5508 Å
α = 60.00°, β = 60.00°, γ = 60.00°
Element x y z (fractional)
Cu  0.2500  0.2500  0.2500
Pd  0.7500  0.7500  0.7500
Ag  0.5000  0.5000  0.5000
In  0.0000  0.0000  0.0000

***

[20]
Compound: Pm4InCuAg2
Source: Alexandria
Functional: PBE
Structure: relaxed

Calculated values
The calculation puts the total DFT energy (no corrections) at -4.234 eV/atom. As for the formation energy: -292.0 meV per atom. The space-group type is R-3m, No. 166. For the size of the total moment, the calculation gives 0.00 μB/f.u.

a = 5.2796 Å, b = 5.2796 Å, c = 9.1027 Å
α = 73.14°, β = 73.14°, γ = 60.00°
Element x y z (fractional)
Pm  0.3825  0.3825  0.8525
Pm  0.8689  0.8689  0.3934
Pm  0.1311  0.1311  0.6066
Pm  0.6175  0.6175  0.1475
In  0.0000  0.0000  0.0000
Cu  0.5000  0.5000  0.5000
Ag  0.7430  0.7430  0.7711
Ag  0.2570  0.2570  0.2289